No. 1
Below is a geometry-optimized NaPd2Cl structure, with properties calculated at the PBE-GGA level.

## Properties
Crystal system   tetragonal
D(E_F)   0.448 states/eV/f.u.
E_form (uncorrected)   -2.97 kJ/mol of atoms
Energy above the lowest structure with this stoichiometry   0.000 eV per atom

a = 5.2772 Å, b = 5.2772 Å, c = 8.5468 Å
α = 72.02°, β = 72.02°, γ = 90.00°
Atoms (fractional coordinates):
Na1 0.5000 0.5000 0.0000
Na2 0.2500 0.7500 0.5000
Cl1 0.0000 0.0000 0.0000
Cl2 0.7500 0.2500 0.5000
Pd1 0.8750 0.0767 0.7500
Pd2 0.9233 0.6250 0.2500
Pd3 0.3750 0.1733 0.7500
Pd4 0.8267 0.1250 0.2500



No. 2
Below is a geometry-optimized Hf5Re4Hg structure, with properties calculated at the PBE-GGA level.

## Properties
Crystal system   tetragonal
D(E_F)   8.888 states/eV/f.u.
ΔH_f (0 K)   -7.13 kcal/mol of atoms

a = 3.3011 Å, b = 3.3011 Å, c = 16.9148 Å
α = 90.00°, β = 90.00°, γ = 90.00°
Atoms (fractional coordinates):
Hf1 0.5000 0.5000 0.6922
Hf2 0.5000 0.5000 0.1198
Hf3 0.5000 0.5000 0.3078
Hf4 0.5000 0.5000 0.8802
Hf5 0.5000 0.5000 0.5000
Re1 0.0000 0.0000 0.5963
Re2 0.0000 0.0000 0.2080
Re3 0.0000 0.0000 0.4037
Re4 0.0000 0.0000 0.7920
Hg1 0.0000 0.0000 0.0000



No. 3
Below is a geometry-optimized Sc5Pt structure, with properties calculated at the PBE-GGA level.

## Properties
Crystal system   hexagonal
D(E_F)   8.857 states/eV/f.u.
Energy above the lowest structure with this stoichiometry   0.828 eV per atom
ΔH_f (0 K)   9.31 kcal/mol of atoms

a = 5.5342 Å, b = 5.5342 Å, c = 5.2940 Å
α = 90.00°, β = 90.00°, γ = 120.00°
Atoms (fractional coordinates):
Sc1 0.5000 0.0000 0.5000
Sc2 0.0000 0.5000 0.5000
Sc3 0.5000 0.5000 0.5000
Sc4 0.3333 0.6667 0.0000
Sc5 0.6667 0.3333 0.0000
Pt1 0.0000 0.0000 0.0000



No. 4
Below is a geometry-optimized Ho8Hg3Sb2 structure, with properties calculated at the PBE-GGA level.

## Properties
Crystal system   monoclinic
D(E_F)   13.948 states/eV/f.u.
E_form (uncorrected)   -37.12 kJ/mol of atoms

a = 6.2754 Å, b = 8.3671 Å, c = 8.4693 Å
α = 119.60°, β = 90.18°, γ = 90.00°
Atoms (fractional coordinates):
Ho1 0.1465 0.4087 0.8175
Ho2 0.6495 0.1750 0.7610
Ho3 0.0925 0.8166 0.6332
Ho4 0.9075 0.1834 0.3668
Ho5 0.3505 0.4140 0.2390
Ho6 0.6495 0.5860 0.7610
Ho7 0.8535 0.5913 0.1825
Ho8 0.3505 0.8250 0.2390
Hg1 0.5000 0.0000 0.0000
Hg2 0.0000 0.8218 0.0000
Hg3 0.0000 0.1782 0.0000
Sb1 0.4217 0.2358 0.4717
Sb2 0.5783 0.7642 0.5283



No. 5
Below is a geometry-optimized LiFe2As structure, with properties calculated at the PBE-GGA level.

## Properties
Crystal system   cubic
D(E_F)   1.333 states/eV/f.u.
ΔH_f (0 K)   -2.82 kcal/mol of atoms

a = 4.0605 Å, b = 4.0605 Å, c = 4.0588 Å
α = 60.01°, β = 60.01°, γ = 59.97°
Last column: magnetic moment on the atom in μB.
Atoms (fractional coordinates):
Fe1 0.7501 0.7501 0.7499  2.61
Fe2 0.0000 0.0000 0.0000  1.40
Li1 0.5000 0.5000 0.5000  -0.01
As1 0.2499 0.2499 0.2500  -0.01



No. 6
Below is a geometry-optimized VAgRu2Cl structure, with properties calculated at the PBE-GGA level.

## Properties
Crystal system   tetragonal
D(E_F)   4.896 states/eV/f.u.
E_form (uncorrected)   119.33 kJ/mol of atoms

a = 4.4794 Å, b = 5.2047 Å, c = 4.4794 Å
α = 90.00°, β = 90.00°, γ = 90.00°
Last column: magnetic moment on the atom in μB.
Atoms (fractional coordinates):
V1 0.0000 0.0000 0.0000  -0.96
Ru1 0.0000 0.0000 0.5000  1.20
Ru2 0.5000 0.0000 0.0000  1.12
Cl1 0.5000 0.5000 0.5000  0.06
Ag1 0.0000 0.5000 0.0000  -0.06



No. 7
Below is a geometry-optimized Li2Nd2Ge3 structure, with properties calculated at the PBE-GGA level.

## Properties
Crystal system   orthorhombic
D(E_F)   1.502 states/eV/f.u.
ΔH_f (0 K)   -16.28 kcal/mol of atoms

a = 9.6420 Å, b = 9.6420 Å, c = 6.9534 Å
α = 90.00°, β = 90.00°, γ = 153.29°
Atoms (fractional coordinates):
Li1 0.1907 0.8093 0.5620
Li2 0.8093 0.1907 0.4380
Li3 0.1907 0.8093 0.9380
Li4 0.8093 0.1907 0.0620
Ge1 0.2796 0.7204 0.2500
Ge2 0.9377 0.0623 0.9341
Ge3 0.9377 0.0623 0.5659
Ge4 0.0623 0.9377 0.4341
Ge5 0.0623 0.9377 0.0659
Ge6 0.7204 0.2796 0.7500
Nd1 0.3427 0.6573 0.7500
Nd2 0.5518 0.4482 0.7500
Nd3 0.4482 0.5518 0.2500
Nd4 0.6573 0.3427 0.2500



No. 8
Below is a geometry-optimized NaHfIrO6 structure, with properties calculated at the PBE-GGA level.

## Properties
Crystal system   trigonal
D(E_F)   5.696 states/eV/f.u.
E_form (uncorrected)   -157.02 kJ/mol of atoms

a = 5.3517 Å, b = 5.3517 Å, c = 10.1477 Å
α = 90.00°, β = 90.00°, γ = 120.00°
Last column: magnetic moment on the atom in μB.
Atoms (fractional coordinates):
O1 0.6173 0.6394 0.6438  0.11
O2 0.3606 0.9780 0.6438  0.11
O3 0.3606 0.3827 0.8562  0.11
O4 0.0220 0.6394 0.8562  0.11
O5 0.3827 0.0220 0.1438  0.11
O6 0.6173 0.9780 0.8562  0.11
O7 0.6394 0.6173 0.1438  0.11
O8 0.9780 0.6173 0.3562  0.11
O9 0.0220 0.3827 0.6438  0.11
O10 0.9780 0.3606 0.1438  0.11
O11 0.3827 0.3606 0.3562  0.11
O12 0.6394 0.0220 0.3562  0.11
Hf1 0.3333 0.6667 0.2500  0.05
Hf2 0.6667 0.3333 0.7500  0.05
Na1 0.0000 0.0000 0.5000  0.00
Na2 0.0000 0.0000 0.0000  0.00
Ir1 0.3333 0.6667 0.7500  0.93
Ir2 0.6667 0.3333 0.2500  0.93



No. 9
Below is a geometry-optimized LaSmSn2 structure, with properties calculated at the PBE-GGA level.

## Properties
Crystal system   trigonal
D(E_F)   4.122 states/eV/f.u.
ΔH_f (0 K)   -12.89 kcal/mol of atoms

a = 4.1922 Å, b = 4.1922 Å, c = 8.9596 Å
α = 76.47°, β = 76.47°, γ = 60.00°
Atoms (fractional coordinates):
Sn1 0.2527 0.2527 0.2419
Sn2 0.7473 0.7473 0.7581
Sm1 0.0000 0.0000 0.0000
La1 0.5000 0.5000 0.5000



No. 10
Below is a geometry-optimized PmNd5YHo2 structure, with properties calculated at the PBE-GGA level.

## Properties
Crystal system   orthorhombic
D(E_F)   14.492 states/eV/f.u.
ΔH_f (0 K)   3.42 kcal/mol of atoms

a = 5.6790 Å, b = 10.6550 Å, c = 10.7369 Å
α = 90.00°, β = 90.00°, γ = 105.46°
Atoms (fractional coordinates):
Ho1 0.1113 0.2226 0.7379
Ho2 0.8841 0.7683 0.8144
Ho3 0.8887 0.7774 0.2379
Ho4 0.1159 0.2317 0.3144
Nd1 0.3897 0.7795 0.0248
Nd2 0.0154 0.0308 0.0206
Nd3 0.5198 0.0396 0.2432
Nd4 0.4802 0.9604 0.7432
Nd5 0.6103 0.2205 0.5248
Nd6 0.2799 0.5597 0.3097
Nd7 0.7201 0.4403 0.8097
Nd8 0.2963 0.5926 0.7046
Nd9 0.7037 0.4074 0.2046
Nd10 0.9846 0.9692 0.5206
Y1 0.5910 0.1820 0.9586
Y2 0.4090 0.8180 0.4586
Pm1 0.7991 0.5983 0.5100
Pm2 0.2009 0.4017 0.0100